1.
Entry from the Alexandria database: a relaxed V3TcO crystal (PBE with a Hubbard U).

Structure (POSCAR):
```
V3TcO
1.0
4.752 0.000 0.000
0.000 4.752 0.000
0.000 0.000 4.752
V Tc O
3 1 1
direct
0.000 0.000 0.500 V
0.000 0.500 0.000 V
0.500 0.000 0.000 V
0.000 0.000 0.000 Tc
0.500 0.500 0.500 O
```

Output
Volume ... 21.46 A^3/atom
Calculated total energy ... -5.74 eV/atom
Space group ... Pm-3m (221)
Energy above the most stable polymorph in this dataset ... 1641 meV per atom


2.
Entry from the Alexandria database: a relaxed VTcO2 crystal (PBE with a Hubbard U).

Structure (POSCAR):
```
VTcO2
1.0
-2.094 2.094 5.492
2.094 -2.094 5.492
2.094 2.094 -5.492
V Tc O
2 2 4
direct
0.000 0.000 0.000 V
0.750 0.250 0.500 V
0.250 0.750 0.500 Tc
0.500 0.500 0.000 Tc
0.114 0.625 0.989 O
0.375 0.364 0.489 O
0.636 0.125 0.011 O
0.875 0.886 0.511 O
```

Output
Volume ... 12.04 A^3/atom
Calculated total energy ... -7.71 eV/atom
Space group ... I-42d (122)
Energy above the most stable polymorph in this dataset ... 381 meV per atom


3.
Entry from the Alexandria database: a relaxed V3TcO crystal (PBE with a Hubbard U).

Structure (POSCAR):
```
V3TcO
1.0
4.134 0.000 0.000
0.000 4.134 0.000
0.000 0.000 4.134
V Tc O
3 1 1
direct
0.000 0.000 0.500 V
0.000 0.500 0.000 V
0.500 0.000 0.000 V
0.500 0.500 0.500 Tc
0.000 0.000 0.000 O
```

Output
Volume ... 14.13 A^3/atom
Calculated total energy ... -7.39 eV/atom
Space group ... Pm-3m (221)
Energy above the most stable polymorph in this dataset ... 0 meV per atom


4.
Entry from the Alexandria database: a relaxed VTcO2 crystal (PBE with a Hubbard U).

Structure (POSCAR):
```
VTcO2
1.0
1.464 0.845 6.327
-1.464 0.845 6.327
0.000 -1.690 6.327
V Tc O
1 1 2
direct
0.000 0.000 0.000 V
0.500 0.500 0.500 Tc
0.391 0.391 0.391 O
0.609 0.609 0.609 O
```

Output
Volume ... 11.74 A^3/atom
Calculated total energy ... -8.09 eV/atom
Space group ... R-3m (166)
Energy above the most stable polymorph in this dataset ... 0 meV per atom


Among the records above, which one has the highest energy above the most stable polymorph in this dataset? number 1